1.
CsLiH, optimized geometry, DFT PBE-GGA; E = -2.08 eV/atom; space group = Cm, No. 8; excess energy over the best structure of this formula in the dataset = 0.141 eV per formula unit
1.0
7.615 -2.365 0.000
7.615 2.365 0.000
-0.818 0.000 5.796
Cs Li H
2 2 2
direct
0.000 0.000 0.000 Cs
0.703 0.703 0.518 Cs
0.302 0.302 0.049 Li
0.398 0.398 0.530 Li
0.199 0.199 0.159 H
0.336 0.336 0.769 H

2.
Cs2LiH, optimized geometry, DFT PBE-GGA; E = -1.46 eV/atom; space group = Fm-3m, No. 225; excess energy over the best structure of this formula in the dataset = 0.712 eV per formula unit
1.0
0.000 4.562 4.562
4.562 0.000 4.562
4.562 4.562 0.000
Cs Li H
2 1 1
direct
0.250 0.250 0.250 Cs
0.750 0.750 0.750 Cs
0.000 0.000 0.000 Li
0.500 0.500 0.500 H

3.
Cs3LiH, optimized geometry, DFT PBE-GGA; E = -1.52 eV/atom; space group = Pm-3m, No. 221; excess energy over the best structure of this formula in the dataset = 0.000 eV per formula unit
1.0
6.511 0.000 0.000
0.000 6.511 0.000
0.000 0.000 6.511
Cs Li H
3 1 1
direct
0.000 0.000 0.500 Cs
0.000 0.500 0.000 Cs
0.500 0.000 0.000 Cs
0.500 0.500 0.500 Li
0.000 0.000 0.000 H

4.
Cs2LiMgH5, optimized geometry, DFT PBE-GGA; E = -2.64 eV/atom; space group = Cmc2_1, No. 36
1.0
2.005 -8.002 0.000
2.005 8.002 0.000
0.000 0.000 11.392
Cs Li Mg H
4 2 2 10
direct
0.101 0.899 0.500 Cs
0.137 0.863 0.150 Cs
0.863 0.137 0.650 Cs
0.899 0.101 0.000 Cs
0.207 0.793 0.858 Li
0.793 0.207 0.358 Li
0.399 0.601 0.270 Mg
0.601 0.399 0.770 Mg
0.098 0.902 0.796 H
0.318 0.682 0.155 H
0.319 0.681 0.839 H
0.332 0.668 0.415 H
0.499 0.501 0.185 H
0.501 0.499 0.685 H
0.668 0.332 0.915 H
0.681 0.319 0.339 H
0.682 0.318 0.655 H
0.902 0.098 0.296 H